# 1
A plane-wave DFT calculation with PBE was carried out for KLi2TbCl6 after structural relaxation.

Geometry as CIF:
```
data_KLi2TbCl6
_cell_length_a 6.9034
_cell_length_b 6.9034
_cell_length_c 18.9446
_cell_angle_alpha 90.00
_cell_angle_beta 90.00
_cell_angle_gamma 120.00
_symmetry_space_group_name_H-M 'R 3'
_symmetry_Int_Tables_number 146
_symmetry_space_group_name_Hall 'R 3'
loop_
_atom_site_label
_atom_site_fract_x
_atom_site_fract_y
_atom_site_fract_z
K1 0.0000 0.0000 0.0000
Li1 0.0000 0.0000 0.2763
Li2 0.0000 0.0000 0.7866
Tb1 0.0000 0.0000 0.4823
Cl1 0.0105 0.5909 0.0563
Cl2 0.0119 0.3399 0.8818
```

Summary:
Raw formation energy ... -2.022 eV per atom
Raw total energy ... -40.86 eV per formula unit
Density of states at the Fermi level ... 0.0 states/eV/f.u.

---

# 2
A plane-wave DFT calculation with PBE was carried out for Mg2SiB2Rh5 after structural relaxation.

Geometry as CIF:
```
data_Mg2SiB2Rh5
_cell_length_a 9.3448
_cell_length_b 9.3448
_cell_length_c 2.8996
_cell_angle_alpha 90.00
_cell_angle_beta 90.00
_cell_angle_gamma 90.00
_symmetry_space_group_name_H-M 'P 4/m b m'
_symmetry_Int_Tables_number 127
_symmetry_space_group_name_Hall '-P 4 2ab'
loop_
_atom_site_label
_atom_site_fract_x
_atom_site_fract_y
_atom_site_fract_z
Mg1 0.1745 0.3255 0.0000
Si1 0.0000 0.0000 0.0000
B1 0.1255 0.6255 0.0000
Rh1 0.0000 0.5000 0.5000
Rh2 0.0723 0.7908 0.5000
```

Summary:
Raw formation energy ... -0.712 eV per atom
Raw total energy ... -65.84 eV per formula unit
Density of states at the Fermi level ... 1.9 states/eV/f.u.

---

# 3
A plane-wave DFT calculation with PBE was carried out for CrOs2W after structural relaxation.

Geometry as CIF:
```
data_CrOs2W
_cell_length_a 5.4812
_cell_length_b 7.5890
_cell_length_c 2.7654
_cell_angle_alpha 90.00
_cell_angle_beta 90.00
_cell_angle_gamma 90.00
_symmetry_space_group_name_H-M 'C m m m'
_symmetry_Int_Tables_number 65
_symmetry_space_group_name_Hall '-C 2 2'
loop_
_atom_site_label
_atom_site_fract_x
_atom_site_fract_y
_atom_site_fract_z
Cr1 0.0000 0.0000 0.0000
Os1 0.2500 0.2500 0.5000
W1 0.0000 0.5000 0.0000
```

Summary:
Energy of formation from the pure elements ... 0.13 eV/atom
Energy above the lowest structure with this stoichiometry ... 38.6 meV/atom
Raw total energy ... -44.52 eV per formula unit
Density of states at the Fermi level ... 4.4 states/eV/f.u.

---

# 4
A plane-wave DFT calculation with PBE was carried out for Cu5Sb3Br12 after structural relaxation.

Geometry as CIF:
```
data_Cu5Sb3Br12
_cell_length_a 16.3779
_cell_length_b 16.3779
_cell_length_c 16.3779
_cell_angle_alpha 90.00
_cell_angle_beta 90.00
_cell_angle_gamma 90.00
_symmetry_space_group_name_H-M 'I a -3 d'
_symmetry_Int_Tables_number 230
_symmetry_space_group_name_Hall '-I 4bd 2c 3'
loop_
_atom_site_label
_atom_site_fract_x
_atom_site_fract_y
_atom_site_fract_z
Cu1 0.0000 0.0000 0.0000
Cu2 0.0000 0.2500 0.3750
Sb1 0.0000 0.2500 0.1250
Br1 0.0212 0.0488 0.6539
```

Summary:
Raw formation energy ... -0.224 eV per atom
Raw total energy ... -57.39 eV per formula unit
Density of states at the Fermi level ... 1.7 states/eV/f.u.

---

Among the records above, which one has the lowest density of states at the Fermi level?
KLi2TbCl6

---

What did the first record say?
A plane-wave DFT calculation with PBE was carried out for KLi2TbCl6 after structural relaxation.

Geometry as CIF:
```
data_KLi2TbCl6
_cell_length_a 6.9034
_cell_length_b 6.9034
_cell_length_c 18.9446
_cell_angle_alpha 90.00
_cell_angle_beta 90.00
_cell_angle_gamma 120.00
_symmetry_space_group_name_H-M 'R 3'
_symmetry_Int_Tables_number 146
_symmetry_space_group_name_Hall 'R 3'
loop_
_atom_site_label
_atom_site_fract_x
_atom_site_fract_y
_atom_site_fract_z
K1 0.0000 0.0000 0.0000
Li1 0.0000 0.0000 0.2763
Li2 0.0000 0.0000 0.7866
Tb1 0.0000 0.0000 0.4823
Cl1 0.0105 0.5909 0.0563
Cl2 0.0119 0.3399 0.8818
```

Summary:
Raw formation energy ... -2.022 eV per atom
Raw total energy ... -40.86 eV per formula unit
Density of states at the Fermi level ... 0.0 states/eV/f.u.